First-principles (PBE-GGA) data for a geometry-optimized TlTc2Rh structure, as listed in the Alexandria database.

The structure in POSCAR format:
```
TlTc2Rh
1.0
-2.7683 0.5689 -0.5025
-0.8759 -1.0732 3.6101
0.8072 5.5607 1.8490
Rh Tc Tl
1 2 1
direct
0.5000 0.5000 0.7654
0.0000 0.0000 0.0172
0.5000 0.5000 0.2094
0.0000 0.0000 0.5081
```

Summary:
ρ   12.7 g cm⁻³
Spin magnetization   0.00 μB per cell
Energy above the most stable polymorph in this dataset   0.35 eV/f.u.
ΔE_f   0.33 eV per atom